Record 1
Nd2SiAsPt6 | PBE | relaxed

Cell lengths 5.567, 8.472, 8.502 Å; angles 90.00, 90.00, 90.00 degrees
Space group Pmmn (No. 59, origin choice 2)
Asymmetric unit:
Nd1 0.250 0.000 0.232 (multiplicity 4)
Si1 0.250 0.250 0.756 (multiplicity 2)
As1 0.250 0.750 0.775 (multiplicity 2)
Pt1 0.002 0.750 0.486 (multiplicity 4)
Pt2 0.003 0.250 0.985 (multiplicity 4)
Pt3 0.250 0.504 0.618 (multiplicity 4)

Properties
E_form (uncorrected) = -929 meV per atom

***

Record 2
SmSc2Pa | PBE | relaxed

Cell lengths 3.3415, 3.3415, 32.6417 Å; angles 90.00, 90.00, 120.00 degrees
Space group R-3m (No. 166, hexagonal axes)
Asymmetric unit:
Sm1 0.0000 0.0000 0.0000 (multiplicity 3)
Sc1 0.0000 0.0000 0.2449 (multiplicity 6)
Pa1 0.0000 0.0000 0.5000 (multiplicity 3)

Properties
energy relative to the elements = 0.089 eV/atom
ΔE to the lowest computed polymorph = 4.9 meV per atom

***

Record 3
Na3Nd2PuS6 | PBE | relaxed

Cell lengths 7.123, 12.336, 7.081 Å; angles 90.00, 109.59, 90.00 degrees
Space group C2/m (No. 12)
Asymmetric unit:
Na1 0.000 0.000 0.000 (multiplicity 2)
Na2 0.000 0.333 0.000 (multiplicity 4)
Nd1 0.000 0.167 0.500 (multiplicity 4)
Pu1 0.000 0.500 0.500 (multiplicity 2)
S1 0.241 0.336 0.732 (multiplicity 8)
S2 0.249 0.000 0.731 (multiplicity 4)

Properties
E_form (uncorrected) = -1693 meV per atom

***

Record 4
BaCd3Ag4 | PBE | relaxed

Cell lengths 4.940, 4.940, 8.513 Å; angles 90.00, 90.00, 90.00 degrees
Space group P4/mmm (No. 123)
Asymmetric unit:
Ba1 0.000 0.000 0.000 (multiplicity 1)
Cd1 0.000 0.000 0.500 (multiplicity 1)
Cd2 0.500 0.500 0.169 (multiplicity 2)
Ag1 0.000 0.500 0.329 (multiplicity 4)

Properties
energy relative to the elements = -0.062 eV/atom

***

Record 5
MnAg3 | PBE | relaxed

Cell lengths 4.732, 5.822, 5.013 Å; angles 90.00, 90.00, 90.00 degrees
Space group Pmmn (No. 59, origin choice 2)
Asymmetric unit:
Mn1 0.250 0.250 0.162 (multiplicity 2)
Ag1 0.250 0.000 0.666 (multiplicity 4)
Ag2 0.250 0.750 0.159 (multiplicity 2)

Properties
energy relative to the elements = 0.170 eV/atom

***

Record 6
DyPaSn2 | PBE | relaxed

Cell lengths 4.884, 4.884, 4.369 Å; angles 90.00, 90.00, 90.00 degrees
Space group P4/mmm (No. 123)
Asymmetric unit:
Dy1 0.000 0.000 0.000 (multiplicity 1)
Pa1 0.500 0.500 0.000 (multiplicity 1)
Sn1 0.000 0.500 0.500 (multiplicity 2)

Properties
energy relative to the elements = -0.367 eV/atom
ΔE to the lowest computed polymorph = 19.0 meV per atom

***

Record 7
Cr2GaH | PBE | relaxed

Cell lengths 4.618, 4.618, 8.779 Å; angles 90.00, 90.00, 90.00 degrees
Space group I4_1/amd (No. 141, origin choice 2)
Asymmetric unit:
Cr1 0.000 0.000 0.000 (multiplicity 8)
Ga1 0.000 0.250 0.375 (multiplicity 4)
H1 0.000 0.250 0.875 (multiplicity 4)

Properties
ΔE to the lowest computed polymorph = 450.1 meV per atom

***

Record 8
PuMgZn2 | PBE | relaxed

Cell lengths 3.051, 3.051, 8.371 Å; angles 90.00, 90.00, 90.00 degrees
Space group P4/mmm (No. 123)
Asymmetric unit:
Pu1 0.000 0.000 0.000 (multiplicity 1)
Mg1 0.000 0.000 0.500 (multiplicity 1)
Zn1 0.500 0.500 0.269 (multiplicity 2)

Properties
energy relative to the elements = -0.084 eV/atom

***

no.,density of states at the Fermi level (states/eV per cell),total DFT energy (no corrections) (eV/cell)
1,6.9,-130.29
2,18.5,-79.56
3,23.8,-145.82
4,5.1,-16.57
5,4.0,-34.08
6,5.4,-23.57
7,15.9,-95.42
8,5.1,-18.81